## SrCdSe2 (GGA-PBE)

Data for a relaxed SrCdSe2 crystal.

Values from the calculation:
magnetic moment: 0.0 μB per formula unit
symmetry: C2/m
uncorrected formation energy: -92.6 kJ per mole of atoms

a = 5.1446 Å, b = 5.1446 Å, c = 3.7860 Å
α = 90.55°, β = 90.55°, γ = 89.85°
Last column: nearest neighbours and their distance in Å.
Fractional positions:
Sr: 0.0000 0.0000 0.0000  8 Se 3.18-3.21
Cd: 0.5000 0.5000 0.0000  8 Se 3.18-3.21
Se: 0.0000 0.5000 0.5000  4 Cd 3.18-3.21, 4 Sr 3.18-3.21
Se: 0.5000 0.0000 0.5000  4 Cd 3.18-3.21, 4 Sr 3.18-3.21